{
  "formula": "TmMgI6",
  "functional": "GGA-PBE",
  "state": "relaxed",
  "raw_formation_energy_mev_per_atom": -922,
  "magnetic_moment_mub_per_cell": 0.00,
  "dos_ef_per_ev_cell": 11.91,
  "dft_energy_ha_per_atom": -0.104,
  "lattice_angstrom": [[7.411, 0.000, 0.000], [3.704, 6.420, 0.000], [3.691, -2.128, 6.590]],
  "species": ["Tm", "Mg", "I", "I", "I", "I", "I", "I"],
  "fractional_positions": [[0.000, 0.000, 0.000], [0.000, 0.500, 0.500], [0.167, 0.579, 0.748], [0.168, 0.748, 0.253], [0.495, 0.085, 0.253], [0.505, 0.915, 0.747], [0.832, 0.252, 0.747], [0.833, 0.421, 0.252]]
}



{
  "formula": "MgUI2",
  "functional": "GGA-PBE",
  "state": "relaxed",
  "raw_formation_energy_mev_per_atom": 77,
  "magnetic_moment_mub_per_cell": 11.17,
  "dos_ef_per_ev_cell": 21.77,
  "dft_energy_ha_per_atom": -0.144,
  "lattice_angstrom": [[3.814, 0.000, 0.000], [-1.907, 3.303, 0.000], [0.000, 0.000, 30.353]],
  "species": ["Mg", "Mg", "Mg", "U", "U", "U", "I", "I", "I", "I", "I", "I"],
  "fractional_positions": [[0.000, 0.000, 0.000], [0.333, 0.667, 0.667], [0.667, 0.333, 0.333], [0.000, 0.000, 0.500], [0.333, 0.667, 0.167], [0.667, 0.333, 0.833], [0.000, 0.000, 0.395], [0.000, 0.000, 0.605], [0.333, 0.667, 0.061], [0.333, 0.667, 0.272], [0.667, 0.333, 0.728], [0.667, 0.333, 0.939]]
}



{
  "formula": "MgV2I",
  "functional": "GGA-PBE",
  "state": "relaxed",
  "raw_formation_energy_mev_per_atom": 822,
  "magnetic_moment_mub_per_cell": 0.00,
  "dos_ef_per_ev_cell": 15.50,
  "dft_energy_ha_per_atom": -0.166,
  "lattice_angstrom": [[3.925, 0.000, 0.000], [0.000, 3.925, 0.000], [0.000, 0.000, 19.744]],
  "species": ["Mg", "Mg", "Mg", "Mg", "V", "V", "V", "V", "V", "V", "V", "V", "I", "I", "I", "I"],
  "fractional_positions": [[0.000, 0.000, 0.000], [0.000, 0.500, 0.250], [0.500, 0.000, 0.750], [0.500, 0.500, 0.500], [0.244, 0.250, 0.125], [0.250, 0.744, 0.375], [0.250, 0.756, 0.875], [0.256, 0.250, 0.625], [0.744, 0.750, 0.625], [0.750, 0.244, 0.875], [0.750, 0.256, 0.375], [0.756, 0.750, 0.125], [0.000, 0.000, 0.500], [0.000, 0.500, 0.750], [0.500, 0.000, 0.250], [0.500, 0.500, 0.000]]
}



{
  "formula": "Mg2V2I",
  "functional": "GGA-PBE",
  "state": "relaxed",
  "raw_formation_energy_mev_per_atom": 772,
  "magnetic_moment_mub_per_cell": 3.14,
  "dos_ef_per_ev_cell": 9.20,
  "dft_energy_ha_per_atom": -0.141,
  "lattice_angstrom": [[4.152, 0.000, 0.000], [0.000, 4.152, 0.000], [0.000, 0.000, 12.826]],
  "species": ["Mg", "Mg", "Mg", "Mg", "V", "V", "V", "V", "I", "I"],
  "fractional_positions": [[0.000, 0.500, 0.250], [0.000, 0.500, 0.750], [0.500, 0.000, 0.250], [0.500, 0.000, 0.750], [0.000, 0.000, 0.075], [0.000, 0.000, 0.925], [0.500, 0.500, 0.425], [0.500, 0.500, 0.575], [0.000, 0.000, 0.500], [0.500, 0.500, 0.000]]
}



{
  "formula": "MgVI2",
  "functional": "GGA-PBE",
  "state": "relaxed",
  "raw_formation_energy_mev_per_atom": 20,
  "magnetic_moment_mub_per_cell": 12.57,
  "dos_ef_per_ev_cell": 11.18,
  "dft_energy_ha_per_atom": -0.126,
  "lattice_angstrom": [[9.895, 0.000, 0.000], [0.000, 9.895, 0.000], [0.000, 0.000, 5.734]],
  "species": ["Mg", "Mg", "Mg", "Mg", "V", "V", "V", "V", "I", "I", "I", "I", "I", "I", "I", "I"],
  "fractional_positions": [[0.000, 0.000, 0.000], [0.000, 0.500, 0.250], [0.500, 0.000, 0.750], [0.500, 0.500, 0.500], [0.000, 0.000, 0.500], [0.000, 0.500, 0.750], [0.500, 0.000, 0.250], [0.500, 0.500, 0.000], [0.102, 0.250, 0.625], [0.250, 0.602, 0.875], [0.250, 0.898, 0.375], [0.398, 0.250, 0.125], [0.602, 0.750, 0.125], [0.750, 0.102, 0.375], [0.750, 0.398, 0.875], [0.898, 0.750, 0.625]]
}



{
  "formula": "MgVI6",
  "functional": "GGA-PBE",
  "state": "relaxed",
  "raw_formation_energy_mev_per_atom": -557,
  "magnetic_moment_mub_per_cell": 0.96,
  "dos_ef_per_ev_cell": 7.14,
  "dft_energy_ha_per_atom": -0.112,
  "lattice_angstrom": [[7.564, 4.367, 2.291], [-7.564, 4.367, 2.291], [0.000, -8.734, 2.291]],
  "species": ["Mg", "V", "I", "I", "I", "I", "I", "I"],
  "fractional_positions": [[0.000, 0.000, 0.000], [0.500, 0.500, 0.500], [0.098, 0.353, 0.353], [0.353, 0.098, 0.353], [0.353, 0.353, 0.098], [0.647, 0.647, 0.902], [0.647, 0.902, 0.647], [0.902, 0.647, 0.647]]
}